The following is a DFT calculation (GGA-PBE) of a geometry-optimized TiNb2V4 structure.

The structure in POSCAR format:
```
TiNb2V4
1.0
-1.284 4.119 0.512
-0.857 0.262 -4.251
-7.123 0.168 -0.774
Nb Ti V
2 1 4
Cartesian
-2.651 1.662 -1.583
-6.611 2.886 -2.930
0.000 0.000 0.000
-4.841 0.930 -1.187
-4.422 3.618 -3.326
-0.428 0.131 -2.125
-0.642 2.059 0.256
```

Computed properties:
magnetization = 0.0 μB/f.u.
Fermi-level density of states = 1.19 states/eV per atom
ΔH_f (0 K) = 1.004 eV per atom
space-group type = I4/mmm